1.
Density functional theory data (PBE-GGA) for crystalline NaAgTe3As at its relaxed geometry.

```
NaAgTe3As
1.0
9.447 0.000 0.000
0.000 3.926 0.000
-2.107 0.000 9.395
Na Ag Te As
2 2 6 2
Cartesian
1.232 0.982 2.463
6.108 2.945 6.932
-0.785 0.982 5.734
8.125 2.945 3.661
-0.774 0.982 8.579
1.215 2.945 5.055
3.922 2.945 1.594
3.417 0.982 7.801
6.125 0.982 4.340
8.114 2.945 0.816
1.296 2.945 8.332
6.043 0.982 1.063
```

## Properties
Energy relative to the elements, uncorrected = -0.215 eV per atom
Total moment = 0.00 μB per formula unit


2.
Density functional theory data (PBE-GGA) for crystalline Na2Ag2Te4As at its relaxed geometry.

```
Na2Ag2Te4As
1.0
8.271 -2.143 0.000
8.271 2.143 0.000
-2.998 0.000 6.968
Na Ag Te As
2 2 4 1
Cartesian
2.009 0.000 0.645
11.534 0.000 6.323
3.579 0.000 3.685
9.964 0.000 3.283
1.019 0.000 5.031
5.881 0.000 5.329
7.662 0.000 1.639
12.524 0.000 1.937
-1.499 0.000 3.484
```

## Properties
Energy relative to the elements, uncorrected = -0.306 eV per atom
Total moment = 0.00 μB per formula unit


3.
Density functional theory data (PBE-GGA) for crystalline NaTlAgAs at its relaxed geometry.

```
NaTlAgAs
1.0
7.089 0.000 0.000
0.000 7.089 0.000
0.000 0.000 7.089
Na Tl Ag As
4 4 4 4
Cartesian
0.000 0.000 0.000
0.000 3.545 3.545
3.545 0.000 3.545
3.545 3.545 0.000
1.772 1.772 1.772
1.772 5.317 5.317
5.317 1.772 5.317
5.317 5.317 1.772
0.000 0.000 3.545
0.000 3.545 0.000
3.545 0.000 0.000
3.545 3.545 3.545
1.772 1.772 5.317
1.772 5.317 1.772
5.317 1.772 1.772
5.317 5.317 5.317
```

## Properties
Total moment = 0.00 μB per formula unit
Energy relative to the elements = -0.24 eV/f.u.


4.
Density functional theory data (PBE-GGA) for crystalline NaZrAg2As at its relaxed geometry.

```
NaZrAg2As
1.0
5.241 0.000 0.000
0.000 5.241 0.000
0.000 0.000 5.722
Na Zr Ag As
1 1 2 1
Cartesian
0.000 0.000 0.000
0.000 0.000 2.861
0.000 2.621 2.861
2.621 0.000 2.861
2.621 2.621 0.000
```

## Properties
Total moment = 1.63 μB per formula unit
Energy relative to the elements = 6.81 eV/f.u.